Entry 1:
# MgReTcW

MgReTcW after structural relaxation (PBE, Alexandria via LeMat-Bulk).

Cell and atoms, written as POSCAR:
```
MgReTcW
1.0
4.436 0.000 0.000
2.218 3.841 0.000
2.218 1.280 3.622
W Tc Re Mg
1 1 1 1
direct
0.000 0.000 0.000
0.250 0.250 0.250
0.750 0.750 0.750
0.500 0.500 0.500
```

Computed properties:
Space-group type: F-43m, No. 216
Crystal system: cubic
Calculated volume: 62 Å³ per cell
Formation enthalpy at 0 K: 0.162 eV per atom

***

Entry 2:
# MgZnReTc

MgZnReTc after structural relaxation (PBE, Alexandria via LeMat-Bulk).

Cell and atoms, written as POSCAR:
```
MgZnReTc
1.0
4.381 0.000 0.000
2.190 3.794 0.000
2.190 1.265 3.577
Zn Re Tc Mg
1 1 1 1
direct
0.000 0.000 0.000
0.750 0.750 0.750
0.500 0.500 0.500
0.250 0.250 0.250
```

Computed properties:
Space-group type: F-43m, No. 216
Crystal system: cubic
Calculated volume: 59 Å³ per cell
Formation enthalpy at 0 K: 0.079 eV per atom

***

Entry 3:
# Mg2ReTe

Mg2ReTe after structural relaxation (PBE, Alexandria via LeMat-Bulk).

Cell and atoms, written as POSCAR:
```
Mg2ReTe
1.0
3.229 0.000 0.000
0.000 3.229 0.000
0.000 0.000 8.479
Re Mg Te
1 2 1
direct
0.000 0.000 0.504
0.000 0.000 0.024
0.500 0.500 0.295
0.500 0.500 0.677
```

Computed properties:
Uncorrected formation energy: 0.258 eV/atom
Space-group type: P4mm, No. 99
Crystal system: tetragonal
Calculated volume: 88 Å³ per cell

***

Entry 4:
# Mg4ReTe

Mg4ReTe after structural relaxation (PBE, Alexandria via LeMat-Bulk).

Cell and atoms, written as POSCAR:
```
Mg4ReTe
1.0
0.000 3.884 3.884
3.884 0.000 3.884
3.884 3.884 0.000
Mg Re Te
4 1 1
direct
0.377 0.377 0.870
0.377 0.870 0.377
0.870 0.377 0.377
0.377 0.377 0.377
0.750 0.750 0.750
0.000 0.000 0.000
```

Computed properties:
Uncorrected formation energy: 0.510 eV/atom
Space-group type: F-43m, No. 216
Crystal system: cubic
Calculated volume: 117 Å³ per cell

***

Entry 5:
# Mg2ReTe

Mg2ReTe after structural relaxation (PBE, Alexandria via LeMat-Bulk).

Cell and atoms, written as POSCAR:
```
Mg2ReTe
1.0
-0.060 2.805 -1.155
-2.230 0.743 1.918
6.284 2.711 6.256
Re Te Mg
1 1 2
direct
0.500 0.500 0.250
0.500 0.500 0.750
0.000 0.000 0.052
0.000 0.000 0.448
```

Computed properties:
Uncorrected formation energy: 0.322 eV/atom
Space-group type: P4/mmm, No. 123
Crystal system: tetragonal
Calculated volume: 85 Å³ per cell

***

Entry 6:
# Mg2ReTe

Mg2ReTe after structural relaxation (PBE, Alexandria via LeMat-Bulk).

Cell and atoms, written as POSCAR:
```
Mg2ReTe
1.0
-2.174 0.625 -1.993
1.939 -1.643 -1.621
-4.519 -7.786 2.488
Mg Re Te
2 1 1
direct
0.000 0.000 0.042
0.000 0.000 0.458
0.500 0.500 0.250
0.500 0.500 0.750
```

Computed properties:
Uncorrected formation energy: 0.333 eV/atom
Space-group type: Cmmm, No. 65
Crystal system: orthorhombic
Calculated volume: 83 Å³ per cell

***

Entry 7:
# Mg2ReTe

Mg2ReTe after structural relaxation (PBE, Alexandria via LeMat-Bulk).

Cell and atoms, written as POSCAR:
```
Mg2ReTe
1.0
-9.623 3.596 0.859
-3.687 -9.149 -2.994
-6.723 -3.528 1.313
Te Re Mg
2 2 4
direct
0.250 0.750 0.500
0.500 0.500 0.000
0.000 0.000 0.000
0.750 0.250 0.500
0.375 0.129 0.750
0.871 0.125 0.250
0.879 0.625 0.250
0.875 0.121 0.750
```

Computed properties:
Uncorrected formation energy: 0.560 eV/atom
Space-group type: I-42d, No. 122
Crystal system: tetragonal
Calculated volume: 265 Å³ per cell

***

Entry 8:
# Mg2ReTe

Mg2ReTe after structural relaxation (PBE, Alexandria via LeMat-Bulk).

Cell and atoms, written as POSCAR:
```
Mg2ReTe
1.0
5.196 -0.002 0.000
1.766 4.887 0.000
-3.481 -2.442 2.986
Re Mg Te
1 2 1
direct
0.500 0.500 0.000
0.000 0.000 0.000
0.250 0.750 0.500
0.750 0.250 0.500
```

Computed properties:
Uncorrected formation energy: 0.424 eV/atom
Space-group type: I-4m2, No. 119
Crystal system: tetragonal
Calculated volume: 76 Å³ per cell

***

Entry 9:
# MgRe4Te

MgRe4Te after structural relaxation (PBE, Alexandria via LeMat-Bulk).

Cell and atoms, written as POSCAR:
```
MgRe4Te
1.0
0.000 3.761 3.761
3.761 0.000 3.761
3.761 3.761 0.000
Re Mg Te
4 1 1
direct
0.375 0.375 0.375
0.375 0.874 0.375
0.375 0.375 0.874
0.874 0.375 0.375
0.000 0.000 0.000
0.750 0.750 0.750
```

Computed properties:
Uncorrected formation energy: 0.576 eV/atom
Space-group type: F-43m, No. 216
Crystal system: cubic
Calculated volume: 106 Å³ per cell

***

Entry 10:
# Mg2ReTe

Mg2ReTe after structural relaxation (PBE, Alexandria via LeMat-Bulk).

Cell and atoms, written as POSCAR:
```
Mg2ReTe
1.0
-1.926 -3.215 -5.699
-4.818 -4.703 -1.092
2.192 6.130 2.036
Te Mg Re
1 2 1
direct
0.317 0.817 0.500
0.677 0.177 0.500
0.017 0.017 0.000
0.490 0.490 0.000
```

Computed properties:
Uncorrected formation energy: 0.260 eV/atom
Space-group type: Imm2, No. 44
Crystal system: orthorhombic
Calculated volume: 91 Å³ per cell

***

Entry 11:
# Mg3ReTe

Mg3ReTe after structural relaxation (PBE, Alexandria via LeMat-Bulk).

Cell and atoms, written as POSCAR:
```
Mg3ReTe
1.0
-3.353 1.121 3.887
-1.748 -4.955 -0.079
3.648 -1.344 3.535
Mg Re Te
3 1 1
direct
0.000 0.000 0.500
0.000 0.500 0.000
0.500 0.000 0.000
0.500 0.500 0.500
0.000 0.000 0.000
```

Computed properties:
Uncorrected formation energy: 1.351 eV/atom
Space-group type: Pm-3m, No. 221
Energy above the lowest structure with this stoichiometry: 494 meV per atom
Crystal system: cubic
Calculated volume: 145 Å³ per cell

***

Entry 12:
# Mg2ReTe

Mg2ReTe after structural relaxation (PBE, Alexandria via LeMat-Bulk).

Cell and atoms, written as POSCAR:
```
Mg2ReTe
1.0
-7.171 3.590 -5.350
-8.595 3.621 -2.439
-6.690 6.085 -3.339
Mg Te Re
2 1 1
direct
0.239 0.239 0.239
0.999 0.999 0.999
0.764 0.764 0.764
0.497 0.497 0.497
```

Computed properties:
Uncorrected formation energy: 0.326 eV/atom
Space-group type: R3m, No. 160
Crystal system: trigonal
Calculated volume: 86 Å³ per cell

***

Entry 13:
# Mg2ReTe

Mg2ReTe after structural relaxation (PBE, Alexandria via LeMat-Bulk).

Cell and atoms, written as POSCAR:
```
Mg2ReTe
1.0
-2.607 -3.740 2.261
-0.869 -5.012 -0.110
3.534 -1.550 3.423
Mg Te Re
2 1 1
direct
0.001 0.001 0.981
0.766 0.766 0.732
0.225 0.225 0.286
0.508 0.508 0.501
```

Computed properties:
Uncorrected formation energy: 0.297 eV/atom
Space-group type: Cm, No. 8
Crystal system: monoclinic
Calculated volume: 79 Å³ per cell

***

Entry 14:
# Mg2ReTe

Mg2ReTe after structural relaxation (PBE, Alexandria via LeMat-Bulk).

Cell and atoms, written as POSCAR:
```
Mg2ReTe
1.0
-5.580 -7.652 -3.283
-3.670 -9.215 -1.443
-6.186 -7.882 -0.274
Mg Re Te
2 1 1
direct
0.511 0.511 0.511
0.989 0.989 0.989
0.250 0.250 0.250
0.750 0.750 0.750
```

Computed properties:
Uncorrected formation energy: 0.393 eV/atom
Space-group type: R-3m, No. 166
Crystal system: trigonal
Calculated volume: 81 Å³ per cell

***

Entry 15:
# Mg2ReTe

Mg2ReTe after structural relaxation (PBE, Alexandria via LeMat-Bulk).

Cell and atoms, written as POSCAR:
```
Mg2ReTe
1.0
-3.442 -0.774 0.777
1.028 -3.164 1.400
1.640 -0.664 6.598
Re Mg Te
1 2 1
direct
0.500 0.250 0.250
0.000 0.523 0.476
0.000 0.977 0.024
0.500 0.750 0.750
```

Computed properties:
Uncorrected formation energy: 0.302 eV/atom
Space-group type: P4/mmm, No. 123
Crystal system: tetragonal
Calculated volume: 76 Å³ per cell